{
  "formula": "ZrSbPbO6",
  "functional": "GGA-PBE",
  "state": "optimized geometry",
  "sg": "P-31c",
  "formation_energy_uncorrected_ev_per_atom": -1.851,
  "lattice_angstrom": [[5.5318, 0.0000, 0.0000], [-2.7659, 4.7907, 0.0000], [0.0000, 0.0000, 9.8462]],
  "species": ["Zr", "Zr", "Sb", "Sb", "Pb", "Pb", "O", "O", "O", "O", "O", "O", "O", "O", "O", "O", "O", "O"],
  "fractional_positions": [[0.3333, 0.6667, 0.2500], [0.6667, 0.3333, 0.7500], [0.3333, 0.6667, 0.7500], [0.6667, 0.3333, 0.2500], [0.0000, 0.0000, 0.0000], [0.0000, 0.0000, 0.5000], [0.0150, 0.3734, 0.6394], [0.0150, 0.6417, 0.8606], [0.3583, 0.3734, 0.8606], [0.3583, 0.9850, 0.6394], [0.3734, 0.0150, 0.1394], [0.3734, 0.3583, 0.3606], [0.6266, 0.6417, 0.6394], [0.6266, 0.9850, 0.8606], [0.6417, 0.0150, 0.3606], [0.6417, 0.6266, 0.1394], [0.9850, 0.3583, 0.1394], [0.9850, 0.6266, 0.3606]]
}

{
  "formula": "Sr2LaTc",
  "functional": "GGA-PBE",
  "state": "optimized geometry",
  "sg": "Immm",
  "e_above_lowest_polymorph_ev_per_fu": 0.176,
  "lattice_angstrom": [[3.5782, 0.0000, 0.0000], [0.0000, 4.5102, 0.0000], [0.0000, 0.0000, 18.1719]],
  "species": ["Sr", "Sr", "Sr", "Sr", "La", "La", "Tc", "Tc"],
  "fractional_positions": [[0.0000, 0.0000, 0.1584], [0.0000, 0.0000, 0.8416], [0.5000, 0.5000, 0.3416], [0.5000, 0.5000, 0.6584], [0.0000, 0.5000, 0.0000], [0.5000, 0.0000, 0.5000], [0.0000, 0.5000, 0.5000], [0.5000, 0.0000, 0.0000]]
}

{
  "formula": "SrCa2Pb2",
  "functional": "GGA-PBE",
  "state": "optimized geometry",
  "sg": "P-3m1",
  "e_above_lowest_polymorph_ev_per_fu": 0.405,
  "lattice_angstrom": [[5.5903, 0.0000, 0.0000], [-2.7952, 4.8414, 0.0000], [0.0000, 0.0000, 6.8337]],
  "species": ["Sr", "Ca", "Ca", "Pb", "Pb"],
  "fractional_positions": [[0.0000, 0.0000, 0.0000], [0.3333, 0.6667, 0.6759], [0.6667, 0.3333, 0.3241], [0.3333, 0.6667, 0.2016], [0.6667, 0.3333, 0.7984]]
}

{
  "formula": "Hf2SnGe2",
  "functional": "GGA-PBE",
  "state": "optimized geometry",
  "sg": "P4/mbm",
  "e_above_lowest_polymorph_ev_per_fu": 0.339,
  "lattice_angstrom": [[7.3919, 0.0000, 0.0000], [0.0000, 7.3919, 0.0000], [0.0000, 0.0000, 3.6785]],
  "species": ["Hf", "Hf", "Hf", "Hf", "Sn", "Sn", "Ge", "Ge", "Ge", "Ge"],
  "fractional_positions": [[0.1650, 0.3350, 0.0000], [0.3350, 0.8350, 0.0000], [0.6650, 0.1650, 0.0000], [0.8350, 0.6650, 0.0000], [0.0000, 0.0000, 0.5000], [0.5000, 0.5000, 0.5000], [0.1316, 0.6316, 0.5000], [0.3684, 0.1316, 0.5000], [0.6316, 0.8684, 0.5000], [0.8684, 0.3684, 0.5000]]
}

{
  "formula": "KSb2Os",
  "functional": "GGA-PBE",
  "state": "optimized geometry",
  "sg": "Imm2",
  "e_above_lowest_polymorph_ev_per_fu": 0.321,
  "formation_energy_uncorrected_ev_per_atom": 0.124,
  "lattice_angstrom": [[3.2764, 0.0000, 0.0000], [0.0000, 3.3858, 0.0000], [0.0000, 0.0000, 18.4799]],
  "species": ["K", "K", "Sb", "Sb", "Sb", "Sb", "Os", "Os"],
  "fractional_positions": [[0.0000, 0.0000, 0.0000], [0.5000, 0.5000, 0.5000], [0.0000, 0.0000, 0.3562], [0.0000, 0.5000, 0.1643], [0.5000, 0.0000, 0.6643], [0.5000, 0.5000, 0.8562], [0.0000, 0.5000, 0.7414], [0.5000, 0.0000, 0.2414]]
}

{
  "formula": "Pr4Sm8Dy",
  "functional": "GGA-PBE",
  "state": "optimized geometry",
  "sg": "R-3m",
  "energy_ev_per_atom": -4.24,
  "lattice_angstrom": [[5.6298, 3.2504, 4.5199], [-5.6298, 3.2504, 4.5199], [0.0000, -6.5007, 4.5199]],
  "species": ["Pr", "Pr", "Pr", "Pr", "Sm", "Sm", "Sm", "Sm", "Sm", "Sm", "Sm", "Sm", "Dy"],
  "fractional_positions": [[0.0000, 0.0000, 0.0000], [0.0000, 0.5000, 0.5000], [0.5000, 0.0000, 0.5000], [0.5000, 0.5000, 0.0000], [0.2371, 0.2371, 0.7554], [0.2371, 0.7554, 0.2371], [0.2381, 0.2381, 0.2381], [0.2446, 0.7629, 0.7629], [0.7554, 0.2371, 0.2371], [0.7619, 0.7619, 0.7619], [0.7629, 0.2446, 0.7629], [0.7629, 0.7629, 0.2446], [0.5000, 0.5000, 0.5000]]
}

{
  "formula": "Na2CoC",
  "functional": "GGA-PBE",
  "state": "optimized geometry",
  "sg": "I-42d",
  "e_above_lowest_polymorph_ev_per_fu": 0.000,
  "lattice_angstrom": [[10.1112, 0.0000, 0.0000], [0.0000, 10.1112, 0.0000], [0.0000, 0.0000, 3.5875]],
  "species": ["Na", "Na", "Na", "Na", "Na", "Na", "Na", "Na", "Co", "Co", "Co", "Co", "C", "C", "C", "C"],
  "fractional_positions": [[0.0212, 0.2500, 0.1250], [0.2500, 0.5212, 0.3750], [0.2500, 0.9788, 0.8750], [0.4788, 0.2500, 0.6250], [0.5212, 0.7500, 0.6250], [0.7500, 0.0212, 0.8750], [0.7500, 0.4788, 0.3750], [0.9788, 0.7500, 0.1250], [0.0000, 0.0000, 0.5000], [0.0000, 0.5000, 0.7500], [0.5000, 0.0000, 0.2500], [0.5000, 0.5000, 0.0000], [0.0000, 0.0000, 0.0000], [0.0000, 0.5000, 0.2500], [0.5000, 0.0000, 0.7500], [0.5000, 0.5000, 0.5000]]
}

{
  "formula": "CrSn2Br6",
  "functional": "GGA-PBE",
  "state": "optimized geometry",
  "sg": "C2/m",
  "formation_energy_uncorrected_ev_per_atom": -0.697,
  "lattice_angstrom": [[8.3203, -2.1034, 0.0000], [8.3203, 2.1034, 0.0000], [-1.4831, 0.0000, 9.1614]],
  "species": ["Cr", "Sn", "Sn", "Br", "Br", "Br", "Br", "Br", "Br"],
  "fractional_positions": [[0.0000, 0.0000, 0.0000], [0.3576, 0.3576, 0.6635], [0.6424, 0.6424, 0.3365], [0.0024, 0.0024, 0.2740], [0.2592, 0.2592, 0.3102], [0.3891, 0.3891, 0.9700], [0.6109, 0.6109, 0.0300], [0.7408, 0.7408, 0.6898], [0.9976, 0.9976, 0.7260]]
}

{
  "formula": "Ho6AsSe5",
  "functional": "GGA-PBE",
  "state": "optimized geometry",
  "sg": "C2/m",
  "formation_energy_uncorrected_ev_per_atom": -1.720,
  "lattice_angstrom": [[3.5139, -6.0963, 0.0000], [3.5139, 6.0963, 0.0000], [-2.3309, 0.0000, 6.6573]],
  "species": ["Ho", "Ho", "Ho", "Ho", "Ho", "Ho", "As", "Se", "Se", "Se", "Se", "Se"],
  "fractional_positions": [[0.0810, 0.4053, 0.2425], [0.2446, 0.2446, 0.7568], [0.4053, 0.0810, 0.2425], [0.5947, 0.9190, 0.7575], [0.7554, 0.7554, 0.2432], [0.9190, 0.5947, 0.7575], [0.0000, 0.0000, 0.0000], [0.1691, 0.8309, 0.5000], [0.3332, 0.6668, 0.0000], [0.5000, 0.5000, 0.5000], [0.6668, 0.3332, 0.0000], [0.8309, 0.1691, 0.5000]]
}

{
  "formula": "CaAc12Pr3",
  "functional": "GGA-PBE",
  "state": "optimized geometry",
  "sg": "P4/mmm",
  "energy_ev_per_atom": -4.08,
  "lattice_angstrom": [[5.5709, 0.0000, 0.0000], [0.0000, 5.5709, 0.0000], [0.0000, 0.0000, 22.2019]],
  "species": ["Ca", "Ac", "Ac", "Ac", "Ac", "Ac", "Ac", "Ac", "Ac", "Ac", "Ac", "Ac", "Ac", "Pr", "Pr", "Pr"],
  "fractional_positions": [[0.0000, 0.0000, 0.0000], [0.0000, 0.5000, 0.1277], [0.0000, 0.5000, 0.3753], [0.0000, 0.5000, 0.6247], [0.0000, 0.5000, 0.8723], [0.5000, 0.0000, 0.1277], [0.5000, 0.0000, 0.3753], [0.5000, 0.0000, 0.6247], [0.5000, 0.0000, 0.8723], [0.5000, 0.5000, 0.0000], [0.5000, 0.5000, 0.2505], [0.5000, 0.5000, 0.5000], [0.5000, 0.5000, 0.7495], [0.0000, 0.0000, 0.2498], [0.0000, 0.0000, 0.5000], [0.0000, 0.0000, 0.7502]]
}

{
  "formula": "Pu2Zn2Tc2C",
  "functional": "GGA-PBE",
  "state": "optimized geometry",
  "sg": "C2/m",
  "energy_ev_per_atom": -8.77,
  "lattice_angstrom": [[10.4242, 0.0000, 0.0000], [0.0000, 4.0214, 0.0000], [-1.0693, 0.0000, 5.5961]],
  "species": ["Pu", "Pu", "Pu", "Pu", "Zn", "Zn", "Zn", "Zn", "Tc", "Tc", "Tc", "Tc", "C", "C"],
  "fractional_positions": [[0.0045, 0.0000, 0.2553], [0.4955, 0.5000, 0.7447], [0.5045, 0.5000, 0.2553], [0.9955, 0.0000, 0.7447], [0.1923, 0.5000, 0.5827], [0.3077, 0.0000, 0.4173], [0.6923, 0.0000, 0.5827], [0.8077, 0.5000, 0.4173], [0.1974, 0.5000, 0.0744], [0.3026, 0.0000, 0.9256], [0.6974, 0.0000, 0.0744], [0.8026, 0.5000, 0.9256], [0.0000, 0.5000, 0.0000], [0.5000, 0.0000, 0.0000]]
}

{
  "formula": "TiAl2Ga",
  "functional": "GGA-PBE",
  "state": "optimized geometry",
  "sg": "I-42d",
  "energy_ev_per_atom": -4.54,
  "lattice_angstrom": [[7.3020, 0.0000, 0.0000], [0.0000, 7.3020, 0.0000], [0.0000, 0.0000, 5.3337]],
  "species": ["Ti", "Ti", "Ti", "Ti", "Al", "Al", "Al", "Al", "Al", "Al", "Al", "Al", "Ga", "Ga", "Ga", "Ga"],
  "fractional_positions": [[0.0000, 0.0000, 0.0000], [0.0000, 0.5000, 0.2500], [0.5000, 0.0000, 0.7500], [0.5000, 0.5000, 0.5000], [0.2227, 0.2500, 0.6250], [0.2500, 0.7227, 0.8750], [0.2500, 0.7773, 0.3750], [0.2773, 0.2500, 0.1250], [0.7227, 0.7500, 0.1250], [0.7500, 0.2227, 0.3750], [0.7500, 0.2773, 0.8750], [0.7773, 0.7500, 0.6250], [0.0000, 0.0000, 0.5000], [0.0000, 0.5000, 0.7500], [0.5000, 0.0000, 0.2500], [0.5000, 0.5000, 0.0000]]
}

Density of states at the Fermi level values, unit states/eV per cell, following the record order: 6.7, 12.2, 6.8, 12.2, 3.1, 20.4, 10.0, 3.3, 5.7, 26.2, 25.7, 12.1.